Entry from Alexandria: TaCd3Pd after structural relaxation (PBE).

Computed properties:
Calculated volume in Å³/cell: 122.36
E_tot in eV per atom: -2.953
Excess energy over the best structure of this formula in the dataset in meV/atom: 0
Formation energy in eV/atom: 1.005

Unit cell a=4.9646 b=4.9646 c=4.9646 alpha=90.00 beta=90.00 gamma=90.00
Closest atoms and distances in Å follow each position.
Space group Pm-3m (No. 221)
Unique sites:
Ta  0.0000  0.0000  0.0000  12 Cd 3.51
Cd  0.0000  0.5000  0.5000  2 Pd 2.48
Pd  0.5000  0.5000  0.5000  6 Cd 2.48